P | First-principles (GGA-PBE) data for a geometry-optimized GaAg3Hg structure, as listed in the Alexandria database.

Cell lengths 4.6615, 5.9822, 7.2793 Å; angles 90.00, 108.56, 90.00 degrees
Space group P2_1/m (No. 11)
One atom of each set of equivalent atoms:
Ga  0.1961  0.2500  0.3880 (multiplicity 2)
Ag  0.1898  0.7500  0.3809 (multiplicity 2)
Ag  0.3744  0.5048  0.7492 (multiplicity 4)
Hg  0.0000  0.0000  0.0000 (multiplicity 2)



Q | First-principles (GGA-PBE) data for a geometry-optimized GaAg3Hg structure, as listed in the Alexandria database.

Cell lengths 5.2705, 5.2705, 5.2705 Å; angles 90.00, 90.00, 90.00 degrees
Space group Pm-3m (No. 221)
One atom of each set of equivalent atoms:
Ga  0.0000  0.0000  0.0000 (multiplicity 1)
Ag  0.0000  0.5000  0.5000 (multiplicity 3)
Hg  0.5000  0.5000  0.5000 (multiplicity 1)



R | First-principles (GGA-PBE) data for a geometry-optimized GaAg3Hg structure, as listed in the Alexandria database.

Cell lengths 4.9409, 4.9409, 4.9409 Å; angles 90.00, 90.00, 90.00 degrees
Space group Pm-3m (No. 221)
One atom of each set of equivalent atoms:
Ga  0.0000  0.0000  0.0000 (multiplicity 1)
Ag  0.0000  0.0000  0.5000 (multiplicity 3)
Hg  0.5000  0.5000  0.5000 (multiplicity 1)



Which is most stable? The ranking, best first, is P, R, Q.



P | First-principles (GGA-PBE) data for a geometry-optimized GaAgHg3 structure, as listed in the Alexandria database.

Cell lengths 5.3937, 5.3937, 5.3937 Å; angles 90.00, 90.00, 90.00 degrees
Space group Pm-3m (No. 221)
One atom of each set of equivalent atoms:
Ga  0.0000  0.0000  0.0000 (multiplicity 1)
Ag  0.5000  0.5000  0.5000 (multiplicity 1)
Hg  0.0000  0.5000  0.5000 (multiplicity 3)



Q | First-principles (GGA-PBE) data for a geometry-optimized GaAgHg3 structure, as listed in the Alexandria database.

Cell lengths 5.2713, 5.2713, 5.2713 Å; angles 90.00, 90.00, 90.00 degrees
Space group Pm-3m (No. 221)
One atom of each set of equivalent atoms:
Ga  0.0000  0.0000  0.0000 (multiplicity 1)
Ag  0.5000  0.5000  0.5000 (multiplicity 1)
Hg  0.0000  0.0000  0.5000 (multiplicity 3)



Which is most stable? The ranking, best first, is P, Q.



P | First-principles (GGA-PBE) data for a geometry-optimized GaAgHg structure, as listed in the Alexandria database.

Cell lengths 3.7396, 3.7396, 20.5917 Å; angles 90.00, 90.00, 90.00 degrees
Space group I4/mmm (No. 139)
One atom of each set of equivalent atoms:
Ga  0.0000  0.0000  0.0683 (multiplicity 4)
Ag  0.0000  0.0000  0.4280 (multiplicity 4)
Hg  0.0000  0.0000  0.2901 (multiplicity 4)



Q | First-principles (GGA-PBE) data for a geometry-optimized GaAgHg structure, as listed in the Alexandria database.

Cell lengths 3.1792, 3.1792, 12.0191 Å; angles 90.00, 90.00, 90.00 degrees
Space group I4mm (No. 107)
One atom of each set of equivalent atoms:
Ga  0.0000  0.0000  0.0000 (multiplicity 2)
Ag  0.0000  0.0000  0.3546 (multiplicity 2)
Hg  0.0000  0.0000  0.6820 (multiplicity 2)



R | First-principles (GGA-PBE) data for a geometry-optimized GaAgHg structure, as listed in the Alexandria database.

Cell lengths 3.1788, 3.1788, 6.8578 Å; angles 90.00, 90.00, 120.00 degrees
Space group P3m1 (No. 156)
One atom of each set of equivalent atoms:
Ga  0.0000  0.0000  0.0000 (multiplicity 1)
Ag  0.6667  0.3333  0.3052 (multiplicity 1)
Hg  0.3333  0.6667  0.6514 (multiplicity 1)



Which is most stable? The ranking, best first, is R, Q, P.



P | First-principles (GGA-PBE) data for a geometry-optimized GaAgHg structure, as listed in the Alexandria database.

Cell lengths 2.8724, 4.6430, 10.1032 Å; angles 99.43, 95.23, 91.85 degrees
Space group P1 (No. 1)
One atom of each set of equivalent atoms:
Ga  0.0000  0.0000  0.0000 (multiplicity 1)
Ga  0.1168  0.4061  0.2805 (multiplicity 1)
Ag  0.4904  0.4874  0.9730 (multiplicity 1)
Ag  0.6106  0.8878  0.2498 (multiplicity 1)
Hg  0.3887  0.8603  0.7234 (multiplicity 1)
Hg  0.7762  0.2813  0.5398 (multiplicity 1)



Q | First-principles (GGA-PBE) data for a geometry-optimized GaAgHg structure, as listed in the Alexandria database.

Cell lengths 6.4104, 6.4104, 6.4104 Å; angles 90.00, 90.00, 90.00 degrees
Space group F-43m (No. 216)
One atom of each set of equivalent atoms:
Ga  0.0000  0.0000  0.0000 (multiplicity 4)
Ag  0.2500  0.2500  0.7500 (multiplicity 4)
Hg  0.2500  0.2500  0.2500 (multiplicity 4)



Which is most stable? The ranking, best first, is P, Q.



P | First-principles (GGA-PBE) data for a geometry-optimized Ga2Ag6Hg structure, as listed in the Alexandria database.

Cell lengths 10.0130, 8.0424, 4.7677 Å; angles 90.00, 118.28, 90.00 degrees
Space group C2/m (No. 12)
One atom of each set of equivalent atoms:
Ga  0.1721  0.0000  0.1720 (multiplicity 4)
Ag  0.0000  0.2917  0.0000 (multiplicity 4)
Ag  0.1719  0.1785  0.6718 (multiplicity 8)
Hg  0.0000  0.5000  0.5000 (multiplicity 2)



Q | First-principles (GGA-PBE) data for a geometry-optimized Ga2Ag6Hg structure, as listed in the Alexandria database.

Cell lengths 13.1403, 9.7599, 5.1807 Å; angles 90.00, 95.51, 90.00 degrees
Space group C2/c (No. 15)
One atom of each set of equivalent atoms:
Ga  0.1639  0.1113  0.0924 (multiplicity 8)
Ag  0.0498  0.1300  0.5134 (multiplicity 8)
Ag  0.1253  0.3560  0.8173 (multiplicity 8)
Ag  0.2273  0.3707  0.3458 (multiplicity 8)
Hg  0.0000  0.3953  0.2500 (multiplicity 4)



Which is most stable? The ranking, best first, is Q, P.



P | First-principles (GGA-PBE) data for a geometry-optimized MgGaAgHg structure, as listed in the Alexandria database.

Cell lengths 6.8211, 6.8211, 6.8211 Å; angles 90.00, 90.00, 90.00 degrees
Space group F-43m (No. 216)
One atom of each set of equivalent atoms:
Mg  0.0000  0.0000  0.0000 (multiplicity 4)
Ga  0.0000  0.0000  0.5000 (multiplicity 4)
Ag  0.2500  0.2500  0.2500 (multiplicity 4)
Hg  0.2500  0.2500  0.7500 (multiplicity 4)



Q | First-principles (GGA-PBE) data for a geometry-optimized MgGaAgHg structure, as listed in the Alexandria database.

Cell lengths 4.3045, 4.3045, 9.2586 Å; angles 90.00, 90.00, 90.00 degrees
Space group P4/nmm (No. 129, origin choice 2)
One atom of each set of equivalent atoms:
Mg  0.2500  0.2500  0.2223 (multiplicity 2)
Ga  0.2500  0.2500  0.8202 (multiplicity 2)
Ag  0.2500  0.7500  0.0000 (multiplicity 2)
Hg  0.2500  0.2500  0.5295 (multiplicity 2)



Which is most stable? The ranking, best first, is Q, P.